Record 1
## Li6Sn2Pb (PBE-GGA)

Data for Li6Sn2Pb after structural relaxation.

Cell and atoms, written as CIF:
```
data_Li6Sn2Pb
_chemical_formula_sum 'Li18 Sn6 Pb3'
_space_group_name_H-M_alt 'R -3 m'
_space_group_IT_number 166
_space_group_name_Hall '-R 3 2"'
_cell_length_a 8.0843
_cell_length_b 8.0843
_cell_length_c 9.1996
_cell_angle_alpha 90.00
_cell_angle_beta 90.00
_cell_angle_gamma 120.00
loop_
_atom_site_label
_atom_site_fract_x
_atom_site_fract_y
_atom_site_fract_z
Li1 0.0000 0.3323 0.0000
Sn1 0.0000 0.0000 0.1641
Pb1 0.0000 0.0000 0.5000
```

Output
**Magnetization**: 0.000 μB per formula unit
**ΔE_f**: -0.341 eV/atom
**Volume**: 173.54 Å³/f.u.
**Energy above the lowest structure with this stoichiometry**: 0.0 meV/atom

---

Record 2
## LiSn3Pb (PBE-GGA)

Data for LiSn3Pb after structural relaxation.

Cell and atoms, written as CIF:
```
data_LiSn3Pb
_chemical_formula_sum 'Li1 Sn3 Pb1'
_space_group_name_H-M_alt 'P m -3 m'
_space_group_IT_number 221
_space_group_name_Hall '-P 4 2 3'
_cell_length_a 5.141
_cell_length_b 5.141
_cell_length_c 5.141
_cell_angle_alpha 90.00
_cell_angle_beta 90.00
_cell_angle_gamma 90.00
loop_
_atom_site_label
_atom_site_fract_x
_atom_site_fract_y
_atom_site_fract_z
Li1 0.000 0.000 0.000
Sn1 0.000 0.000 0.500
Pb1 0.500 0.500 0.500
```

Output
**Magnetization**: 0.000 μB per formula unit
**ΔE_f**: 0.154 eV/atom
**Volume**: 135.84 Å³/f.u.
**Energy above the lowest structure with this stoichiometry**: 227.5 meV/atom

---

Please write out number 1 again, unchanged.
## Li6Sn2Pb (PBE-GGA)

Data for Li6Sn2Pb after structural relaxation.

Cell and atoms, written as CIF:
```
data_Li6Sn2Pb
_chemical_formula_sum 'Li18 Sn6 Pb3'
_space_group_name_H-M_alt 'R -3 m'
_space_group_IT_number 166
_space_group_name_Hall '-R 3 2"'
_cell_length_a 8.0843
_cell_length_b 8.0843
_cell_length_c 9.1996
_cell_angle_alpha 90.00
_cell_angle_beta 90.00
_cell_angle_gamma 120.00
loop_
_atom_site_label
_atom_site_fract_x
_atom_site_fract_y
_atom_site_fract_z
Li1 0.0000 0.3323 0.0000
Sn1 0.0000 0.0000 0.1641
Pb1 0.0000 0.0000 0.5000
```

Output
**Magnetization**: 0.000 μB per formula unit
**ΔE_f**: -0.341 eV/atom
**Volume**: 173.54 Å³/f.u.
**Energy above the lowest structure with this stoichiometry**: 0.0 meV/atom